Entry from Alexandria via LeMat-Bulk: crystalline Na2PRuCl at its relaxed geometry (PBE).

a = 5.5420 Å, b = 5.5420 Å, c = 4.3953 Å
α = 90.00°, β = 90.00°, γ = 90.00°
Last column: nearest neighbours and their distance in Å.
Element x y z (fractional)
1 Na 0.0000 0.5000 0.0000  2 P 2.77
2 Na 0.5000 0.0000 0.0000  2 P 2.77
3 P 0.0000 0.0000 0.0000  2 Ru 2.20
4 Ru 0.0000 0.0000 0.5000  2 P 2.20
5 Cl 0.5000 0.5000 0.5000  8 Na 3.54, 4 Ru 3.92

## Properties
E (eV per cell): -19.9
Spin magnetization (μB per atom): 0.367
Space group: P4/mmm, No. 123